Record 1
A geometry-optimized Sc4TaAs structure. Source: the Alexandria database, functional PBE.

abc: 5.671 5.671 5.671
angles: 60.00 60.00 60.00
Positions (direct):
Sc (0.123, 0.123, 0.123)
Sc (0.123, 0.123, 0.630)
Sc (0.123, 0.630, 0.123)
Sc (0.630, 0.123, 0.123)
Ta (0.750, 0.750, 0.750)
As (0.500, 0.500, 0.500)

Calculated values
Space group: F-43m (216)
DFT formation energy, eV per atom: 0.40
VASP energy, eV/cell: -39.41

***

Record 2
A geometry-optimized Rb2GaSnI6 structure. Source: the Alexandria database, functional PBE.

abc: 8.570 8.570 8.570
angles: 119.87 119.87 90.22
Positions (direct):
Rb (0.250, 0.750, 0.500)
Rb (0.750, 0.250, 0.500)
Ga (0.000, 0.000, 0.000)
Sn (0.500, 0.500, 0.000)
I (0.245, 0.245, 0.000)
I (0.245, 0.245, 0.491)
I (0.245, 0.755, 0.000)
I (0.755, 0.245, 0.000)
I (0.755, 0.755, 0.000)
I (0.755, 0.755, 0.509)

Calculated values
Space group: I4/mmm (139)
Raw formation energy, kcal/mol of atoms: -19.28
VASP energy, eV/cell: -26.63

***

Record 3
A geometry-optimized TcPbSe2 structure. Source: the Alexandria database, functional PBE.

abc: 7.039 7.039 7.039
angles: 124.30 124.30 82.70
Positions (direct):
Tc (0.000, 0.000, 0.000)
Tc (0.750, 0.250, 0.500)
Pb (0.250, 0.750, 0.500)
Pb (0.500, 0.500, 0.000)
Se (0.047, 0.625, 0.922)
Se (0.375, 0.297, 0.422)
Se (0.703, 0.125, 0.078)
Se (0.875, 0.953, 0.578)

Calculated values
Space group: I-42d (122)
Raw formation energy, kcal/mol of atoms: 0.95
VASP energy, eV/cell: -41.76
Energy above the lowest structure with this stoichiometry, eV/atom: 0.201

***

Record 4
A geometry-optimized BeAlCl2 structure. Source: the Alexandria database, functional PBE.

abc: 4.676 4.676 4.676
angles: 114.18 114.18 100.41
Positions (direct):
Be (0.000, 0.000, 0.000)
Al (0.500, 0.500, 0.000)
Cl (0.000, 0.500, 0.500)
Cl (0.500, 0.000, 0.500)

Calculated values
Space group: I4/mmm (139)
Raw formation energy, kcal/mol of atoms: 1.62
VASP energy, eV/cell: -10.88
Energy above the lowest structure with this stoichiometry, eV/atom: 0.721

***

Record 5
A geometry-optimized GaSnIO2 structure. Source: the Alexandria database, functional PBE.

abc: 4.174 4.174 5.358
angles: 90.00 90.00 90.00
Positions (direct):
Ga (0.000, 0.000, 0.000)
Sn (0.500, 0.500, 0.500)
I (0.000, 0.000, 0.500)
O (0.000, 0.500, 0.000)
O (0.500, 0.000, 0.000)

Calculated values
Space group: P4/mmm (123)
Raw formation energy, kcal/mol of atoms: -6.74
VASP energy, eV/cell: -19.96
Energy above the lowest structure with this stoichiometry, eV/atom: 0.216

***

Record 6
A geometry-optimized ZrSc5P6 structure. Source: the Alexandria database, functional PBE.

abc: 6.491 6.491 6.496
angles: 99.60 99.60 119.94
Positions (direct):
Zr (0.000, 0.000, 0.000)
Sc (0.167, 0.833, 0.500)
Sc (0.333, 0.667, 0.000)
Sc (0.500, 0.500, 0.500)
Sc (0.667, 0.333, 0.000)
Sc (0.833, 0.167, 0.500)
P (0.083, 0.417, 0.250)
P (0.250, 0.250, 0.750)
P (0.417, 0.083, 0.250)
P (0.583, 0.917, 0.750)
P (0.750, 0.750, 0.250)
P (0.917, 0.583, 0.750)

Calculated values
Space group: C2/m (12)
DFT formation energy, eV per atom: -1.49
VASP energy, eV/cell: -90.54

***

Record 7
A geometry-optimized SrBe2Co structure. Source: the Alexandria database, functional PBE.

abc: 4.481 4.481 4.481
angles: 60.00 60.00 60.00
Positions (direct):
Sr (0.000, 0.000, 0.000)
Be (0.250, 0.250, 0.250)
Be (0.750, 0.750, 0.750)
Co (0.500, 0.500, 0.500)

Calculated values
Space group: Fm-3m (225)
DFT formation energy, eV per atom: 0.81
VASP energy, eV/cell: -12.99
Energy above the lowest structure with this stoichiometry, eV/atom: 0.760

***

Record 8
A geometry-optimized ZrTiIr2 structure. Source: the Alexandria database, functional PBE.

abc: 4.286 4.286 3.606
angles: 90.00 90.00 90.00
Positions (direct):
Zr (0.000, 0.000, 0.000)
Ti (0.500, 0.500, 0.000)
Ir (0.000, 0.500, 0.500)
Ir (0.500, 0.000, 0.500)

Calculated values
Space group: P4/mmm (123)
DFT formation energy, eV per atom: -0.77
VASP energy, eV/cell: -37.26

***

Record 9
A geometry-optimized ZrNbOs structure. Source: the Alexandria database, functional PBE.

abc: 6.924 6.924 6.924
angles: 38.79 38.79 38.79
Positions (direct):
Zr (0.131, 0.131, 0.131)
Zr (0.869, 0.869, 0.869)
Nb (0.291, 0.291, 0.291)
Nb (0.709, 0.709, 0.709)
Os (0.425, 0.425, 0.425)
Os (0.575, 0.575, 0.575)

Calculated values
Space group: R-3m (166)
DFT formation energy, eV per atom: -0.08
VASP energy, eV/cell: -60.15
Energy above the lowest structure with this stoichiometry, eV/atom: 0.229

***

Record 10
A geometry-optimized TaSeBr2 structure. Source: the Alexandria database, functional PBE.

abc: 3.352 3.352 11.032
angles: 90.00 90.00 124.97
Positions (direct):
Ta (0.000, 0.000, 0.000)
Se (0.000, 0.000, 0.500)
Br (0.500, 0.500, 0.191)
Br (0.500, 0.500, 0.809)

Calculated values
Space group: Cmmm (65)
Raw formation energy, kcal/mol of atoms: 3.76
VASP energy, eV/cell: -18.03
Energy above the lowest structure with this stoichiometry, eV/atom: 0.840

***

Record 11
A geometry-optimized Sm4Ho15Th structure. Source: the Alexandria database, functional PBE.

abc: 5.028 5.028 24.992
angles: 90.00 90.00 90.00
Positions (direct):
Sm (0.000, 0.000, 0.100)
Sm (0.000, 0.000, 0.301)
Sm (0.000, 0.000, 0.699)
Sm (0.000, 0.000, 0.900)
Ho (0.000, 0.500, 0.000)
Ho (0.000, 0.500, 0.200)
Ho (0.000, 0.500, 0.402)
Ho (0.000, 0.500, 0.598)
Ho (0.000, 0.500, 0.800)
Ho (0.500, 0.000, 0.000)
Ho (0.500, 0.000, 0.200)
Ho (0.500, 0.000, 0.402)
Ho (0.500, 0.000, 0.598)
Ho (0.500, 0.000, 0.800)
Ho (0.500, 0.500, 0.100)
Ho (0.500, 0.500, 0.300)
Ho (0.500, 0.500, 0.500)
Ho (0.500, 0.500, 0.700)
Ho (0.500, 0.500, 0.900)
Th (0.000, 0.000, 0.500)

Calculated values
Space group: P4/mmm (123)
DFT formation energy, eV per atom: 0.02
VASP energy, eV/cell: -94.51

***

Record 12
A geometry-optimized TlReP structure. Source: the Alexandria database, functional PBE.

abc: 3.151 3.151 6.526
angles: 90.00 90.00 120.00
Positions (direct):
Tl (0.000, 0.000, 0.000)
Re (0.333, 0.667, 0.629)
P (0.667, 0.333, 0.401)

Calculated values
Space group: P3m1 (156)
DFT formation energy, eV per atom: 0.24
VASP energy, eV/cell: -19.49
Energy above the lowest structure with this stoichiometry, eV/atom: 0.000

***

Record 13
A geometry-optimized Ac2Cu3Sn2 structure. Source: the Alexandria database, functional PBE.

abc: 7.793 7.793 7.793
angles: 109.47 109.47 109.47
Positions (direct):
Ac (0.000, 0.985, 0.500)
Ac (0.500, 0.000, 0.985)
Ac (0.515, 0.515, 0.515)
Ac (0.985, 0.500, 0.000)
Cu (0.024, 0.250, 0.274)
Cu (0.226, 0.476, 0.750)
Cu (0.250, 0.274, 0.024)
Cu (0.274, 0.024, 0.250)
Cu (0.476, 0.750, 0.226)
Cu (0.750, 0.226, 0.476)
Sn (0.000, 0.559, 0.500)
Sn (0.500, 0.000, 0.559)
Sn (0.559, 0.500, 0.000)
Sn (0.941, 0.941, 0.941)

Calculated values
Space group: I2_13 (199)
DFT formation energy, eV per atom: -0.26
VASP energy, eV/cell: -60.65

***

Record 14
A geometry-optimized Sm8ZnGa2 structure. Source: the Alexandria database, functional PBE.

abc: 9.656 9.656 6.805
angles: 102.71 102.71 30.74
Positions (direct):
Sm (0.022, 0.022, 0.272)
Sm (0.204, 0.204, 0.811)
Sm (0.340, 0.340, 0.528)
Sm (0.407, 0.407, 0.034)
Sm (0.593, 0.593, 0.966)
Sm (0.660, 0.660, 0.472)
Sm (0.796, 0.796, 0.189)
Sm (0.978, 0.978, 0.728)
Zn (0.500, 0.500, 0.500)
Ga (0.187, 0.187, 0.246)
Ga (0.813, 0.813, 0.754)

Calculated values
Space group: C2/m (12)
DFT formation energy, eV per atom: -0.24
VASP energy, eV/cell: -47.68

***

Record 15
A geometry-optimized Hf2CoPt structure. Source: the Alexandria database, functional PBE.

abc: 3.417 4.238 9.828
angles: 90.00 100.12 90.00
Positions (direct):
Hf (0.055, 0.250, 0.112)
Hf (0.192, 0.750, 0.383)
Hf (0.808, 0.250, 0.617)
Hf (0.945, 0.750, 0.888)
Co (0.444, 0.250, 0.888)
Co (0.556, 0.750, 0.112)
Pt (0.334, 0.750, 0.668)
Pt (0.666, 0.250, 0.332)

Calculated values
Space group: P2_1/m (11)
DFT formation energy, eV per atom: -0.74
VASP energy, eV/cell: -72.02

***

Record 16
A geometry-optimized BSeIO2 structure. Source: the Alexandria database, functional PBE.

abc: 3.606 3.606 6.366
angles: 90.00 90.00 90.00
Positions (direct):
B (0.000, 0.000, 0.000)
Se (0.500, 0.500, 0.500)
I (0.000, 0.000, 0.500)
O (0.000, 0.500, 0.000)
O (0.500, 0.000, 0.000)

Calculated values
Space group: P4/mmm (123)
Raw formation energy, kcal/mol of atoms: 14.69
VASP energy, eV/cell: -18.44
Energy above the lowest structure with this stoichiometry, eV/atom: 0.000

***

Record 17
A geometry-optimized CdAsBr2 structure. Source: the Alexandria database, functional PBE.

abc: 9.268 9.268 9.268
angles: 23.82 23.82 23.82
Positions (direct):
Cd (0.000, 0.000, 0.000)
As (0.265, 0.265, 0.265)
Br (0.529, 0.529, 0.529)
Br (0.731, 0.731, 0.731)

Calculated values
Space group: R3m (160)
Raw formation energy, kcal/mol of atoms: -1.59
VASP energy, eV/cell: -9.19
Energy above the lowest structure with this stoichiometry, eV/atom: 0.210

***

Record 18
A geometry-optimized SrPrSnHg structure. Source: the Alexandria database, functional PBE.

abc: 5.591 5.591 5.591
angles: 60.00 60.00 60.00
Positions (direct):
Sr (0.000, 0.000, 0.000)
Pr (0.500, 0.500, 0.500)
Sn (0.250, 0.250, 0.250)
Hg (0.750, 0.750, 0.750)

Calculated values
Space group: F-43m (216)
DFT formation energy, eV per atom: -0.57
VASP energy, eV/cell: -13.04

***

Record 19
A geometry-optimized MgPd structure. Source: the Alexandria database, functional PBE.

abc: 5.258 5.258 5.272
angles: 90.00 90.00 90.00
Positions (direct):
Mg (0.201, 0.201, 0.000)
Mg (0.299, 0.701, 0.500)
Mg (0.701, 0.299, 0.500)
Mg (0.799, 0.799, 0.000)
Pd (0.194, 0.194, 0.500)
Pd (0.306, 0.694, 0.000)
Pd (0.694, 0.306, 0.000)
Pd (0.806, 0.806, 0.500)

Calculated values
Space group: P4_2/mnm (136)
DFT formation energy, eV per atom: -0.36
VASP energy, eV/cell: -30.05

***

Record 20
A geometry-optimized ScOsBr structure. Source: the Alexandria database, functional PBE.

abc: 4.502 4.502 4.502
angles: 60.00 60.00 60.00
Positions (direct):
Sc (0.000, 0.000, 0.000)
Os (0.250, 0.250, 0.250)
Br (0.750, 0.750, 0.750)

Calculated values
Space group: F-43m (216)
Raw formation energy, kcal/mol of atoms: 15.50
VASP energy, eV/cell: -17.22
Energy above the lowest structure with this stoichiometry, eV/atom: 0.712